A relaxed structure of Sr2ZnCd2, computed with GGA-PBE.

* total DFT energy (no corrections): -14.60 eV for the cell shown
* ΔE_f: -80 kJ/mol of formula units
* spin magnetization: 0.0 μB per formula unit
* energy above the most stable polymorph in this dataset: 118 meV per atom

Unit cell a=7.927 b=7.927 c=5.026 alpha=90.00 beta=90.00 gamma=90.00
Fractional coordinates of all 10 atoms:
Sr (0.177, 0.677, 0.500)
Sr (0.323, 0.177, 0.500)
Sr (0.823, 0.323, 0.500)
Sr (0.677, 0.823, 0.500)
Zn (0.000, 0.000, 0.000)
Zn (0.500, 0.500, 0.000)
Cd (0.369, 0.869, 0.000)
Cd (0.869, 0.631, 0.000)
Cd (0.131, 0.369, 0.000)
Cd (0.631, 0.131, 0.000)


A relaxed structure of ScFeTcCl2, computed with GGA-PBE.

* total DFT energy (no corrections): -26.75 eV for the cell shown
* E_form (uncorrected): 0.4214 eV per atom
* spin magnetization: 0.1 μB per formula unit

Unit cell a=4.439 b=4.667 c=4.439 alpha=90.00 beta=90.00 gamma=90.00
Fractional coordinates of all 5 atoms:
Fe (0.000, 0.000, 0.000)
Sc (0.500, 0.500, 0.500)
Cl (0.500, 0.000, 0.000)
Cl (0.000, 0.000, 0.500)
Tc (0.000, 0.500, 0.000)


A relaxed structure of Ca4ThN4, computed with GGA-PBE.

* total DFT energy (no corrections): -57.16 eV for the cell shown
* E_form (uncorrected): -0.9364 eV per atom
* spin magnetization: 0.0 μB per formula unit

Unit cell a=6.737 b=6.737 c=6.737 alpha=96.08 beta=96.08 gamma=142.00
Fractional coordinates of all 9 atoms:
Ca (0.838, 0.651, 0.488)
Ca (0.349, 0.838, 0.187)
Ca (0.651, 0.162, 0.813)
Ca (0.162, 0.349, 0.512)
N (0.754, 0.915, 0.669)
N (0.915, 0.246, 0.161)
N (0.246, 0.085, 0.331)
N (0.085, 0.754, 0.839)
Th (0.000, 0.000, 0.000)


A relaxed structure of La5CoGe2, computed with GGA-PBE.

* total DFT energy (no corrections): -182.13 eV for the cell shown
* ΔE_f: -439 kJ/mol of formula units
* spin magnetization: 0.0 μB per formula unit

Unit cell a=8.124 b=8.851 c=12.594 alpha=90.00 beta=90.00 gamma=90.00
Fractional coordinates of all 32 atoms:
La (0.175, 0.974, 0.068)
La (0.459, 0.250, 0.001)
La (0.849, 0.250, 0.206)
La (0.330, 0.250, 0.288)
La (0.041, 0.250, 0.501)
La (0.651, 0.250, 0.706)
La (0.170, 0.250, 0.788)
La (0.959, 0.750, 0.499)
La (0.825, 0.474, 0.932)
La (0.325, 0.974, 0.568)
La (0.670, 0.750, 0.712)
La (0.175, 0.526, 0.068)
La (0.541, 0.750, 0.999)
La (0.825, 0.026, 0.932)
La (0.675, 0.026, 0.432)
La (0.675, 0.474, 0.432)
La (0.151, 0.750, 0.794)
La (0.325, 0.526, 0.568)
La (0.349, 0.750, 0.294)
La (0.830, 0.750, 0.212)
Ge (0.057, 0.504, 0.328)
Ge (0.057, 0.996, 0.328)
Ge (0.557, 0.004, 0.172)
Ge (0.943, 0.496, 0.672)
Ge (0.943, 0.004, 0.672)
Ge (0.443, 0.996, 0.828)
Ge (0.557, 0.496, 0.172)
Ge (0.443, 0.504, 0.828)
Co (0.072, 0.250, 0.018)
Co (0.428, 0.250, 0.518)
Co (0.572, 0.750, 0.482)
Co (0.928, 0.750, 0.982)


A relaxed structure of BaSn2HgBi2, computed with GGA-PBE.

* total DFT energy (no corrections): -38.55 eV for the cell shown
* ΔE_f: -124 kJ/mol of formula units
* spin magnetization: 0.0 μB per formula unit

Unit cell a=5.584 b=7.129 c=11.414 alpha=90.00 beta=90.00 gamma=90.00
Fractional coordinates of all 12 atoms:
Hg (0.500, 0.500, 0.500)
Hg (0.000, 0.000, 0.000)
Bi (0.500, 0.808, 0.698)
Bi (0.500, 0.192, 0.302)
Bi (0.000, 0.308, 0.802)
Bi (0.000, 0.692, 0.198)
Sn (0.500, 0.241, 0.698)
Sn (0.500, 0.759, 0.302)
Sn (0.000, 0.259, 0.198)
Sn (0.000, 0.741, 0.802)
Ba (0.000, 0.000, 0.500)
Ba (0.500, 0.500, 0.000)


A relaxed structure of PrScNiAg, computed with GGA-PBE.

* total DFT energy (no corrections): -20.54 eV for the cell shown
* ΔE_f: -77 kJ/mol of formula units
* spin magnetization: 0.0 μB per formula unit

Unit cell a=4.958 b=4.958 c=4.958 alpha=60.00 beta=60.00 gamma=60.00
Fractional coordinates of all 4 atoms:
Ni (0.500, 0.500, 0.500)
Ag (0.000, 0.000, 0.000)
Pr (0.750, 0.750, 0.750)
Sc (0.250, 0.250, 0.250)


A relaxed structure of La3Ge6Pt2Au, computed with GGA-PBE.

* total DFT energy (no corrections): -63.20 eV for the cell shown
* ΔE_f: -517 kJ/mol of formula units
* spin magnetization: 0.0 μB per formula unit

Unit cell a=6.113 b=6.113 c=8.393 alpha=90.00 beta=90.00 gamma=120.00
Fractional coordinates of all 12 atoms:
Ge (0.808, 0.616, 0.718)
Ge (0.616, 0.808, 0.282)
Ge (0.192, 0.384, 0.282)
Ge (0.808, 0.192, 0.718)
Ge (0.384, 0.192, 0.718)
Ge (0.192, 0.808, 0.282)
La (0.000, 0.000, 0.000)
La (0.333, 0.667, 0.642)
La (0.667, 0.333, 0.358)
Pt (0.667, 0.333, 0.978)
Pt (0.333, 0.667, 0.022)
Au (0.000, 0.000, 0.500)


A relaxed structure of SrNdGd2, computed with GGA-PBE.

* total DFT energy (no corrections): -33.85 eV for the cell shown
* ΔE_f: 74 kJ/mol of formula units
* spin magnetization: 15.0 μB per formula unit
* energy above the most stable polymorph in this dataset: 97 meV per atom

Unit cell a=3.660 b=3.660 c=13.065 alpha=81.95 beta=81.95 gamma=60.00
Fractional coordinates of all 4 atoms:
Gd (0.092, 0.092, 0.724)
Gd (0.908, 0.908, 0.276)
Nd (0.500, 0.500, 0.500)
Sr (0.000, 0.000, 0.000)


A relaxed structure of CaMg2Au, computed with GGA-PBE.

* total DFT energy (no corrections): -83.98 eV for the cell shown
* ΔE_f: -196 kJ/mol of formula units
* spin magnetization: 0.0 μB per formula unit

Unit cell a=5.755 b=8.230 c=16.306 alpha=90.00 beta=90.00 gamma=90.00
Fractional coordinates of all 32 atoms:
Ca (0.242, 0.750, 0.607)
Ca (0.543, 0.750, 0.863)
Ca (0.258, 0.750, 0.107)
Ca (0.457, 0.250, 0.137)
Ca (0.758, 0.250, 0.393)
Ca (0.957, 0.750, 0.363)
Ca (0.043, 0.250, 0.637)
Ca (0.742, 0.250, 0.893)
Mg (0.261, 0.443, 0.461)
Mg (0.239, 0.443, 0.961)
Mg (0.460, 0.557, 0.288)
Mg (0.460, 0.943, 0.288)
Mg (0.960, 0.057, 0.212)
Mg (0.761, 0.557, 0.039)
Mg (0.960, 0.443, 0.212)
Mg (0.739, 0.943, 0.539)
Mg (0.540, 0.057, 0.712)
Mg (0.261, 0.057, 0.461)
Mg (0.761, 0.943, 0.039)
Mg (0.739, 0.557, 0.539)
Mg (0.239, 0.057, 0.961)
Mg (0.540, 0.443, 0.712)
Mg (0.040, 0.943, 0.788)
Mg (0.040, 0.557, 0.788)
Au (0.962, 0.250, 0.068)
Au (0.538, 0.250, 0.568)
Au (0.038, 0.750, 0.932)
Au (0.748, 0.750, 0.686)
Au (0.462, 0.750, 0.432)
Au (0.752, 0.750, 0.186)
Au (0.248, 0.250, 0.814)
Au (0.252, 0.250, 0.314)


A relaxed structure of PrTlZn, computed with GGA-PBE.

* total DFT energy (no corrections): -7.24 eV for the cell shown
* ΔE_f: 113 kJ/mol of formula units
* spin magnetization: 0.0 μB per formula unit

Unit cell a=3.221 b=3.221 c=8.970 alpha=100.34 beta=100.34 gamma=90.00
Fractional coordinates of all 3 atoms:
Zn (0.130, 0.130, 0.260)
Pr (0.955, 0.955, 0.910)
Tl (0.765, 0.765, 0.529)


A relaxed structure of Co2AsAu2, computed with GGA-PBE.

* total DFT energy (no corrections): -49.51 eV for the cell shown
* ΔE_f: 64 kJ/mol of formula units
* spin magnetization: 2.0 μB per formula unit

Unit cell a=5.953 b=5.953 c=4.288 alpha=90.00 beta=90.00 gamma=90.00
Fractional coordinates of all 10 atoms:
Au (0.167, 0.667, 0.500)
Au (0.667, 0.833, 0.500)
Au (0.833, 0.333, 0.500)
Au (0.333, 0.167, 0.500)
Co (0.640, 0.140, 0.000)
Co (0.140, 0.360, 0.000)
Co (0.360, 0.860, 0.000)
Co (0.860, 0.640, 0.000)
As (0.500, 0.500, 0.000)
As (0.000, 0.000, 0.000)


A relaxed structure of Na2PPdRu, computed with GGA-PBE.

* total DFT energy (no corrections): -17.08 eV for the cell shown
* ΔE_f: 524 kJ/mol of formula units
* spin magnetization: 0.9 μB per formula unit

Unit cell a=5.017 b=4.800 c=5.017 alpha=90.00 beta=90.00 gamma=90.00
Fractional coordinates of all 5 atoms:
Ru (0.000, 0.500, 0.000)
Na (0.500, 0.000, 0.000)
Na (0.000, 0.000, 0.500)
Pd (0.000, 0.000, 0.000)
P (0.500, 0.500, 0.500)


A relaxed structure of LaYNiIr, computed with GGA-PBE.

* total DFT energy (no corrections): -28.07 eV for the cell shown
* ΔE_f: -196 kJ/mol of formula units
* spin magnetization: 0.0 μB per formula unit
* energy above the most stable polymorph in this dataset: 70 meV per atom

Unit cell a=4.951 b=4.951 c=4.951 alpha=60.00 beta=60.00 gamma=60.00
Fractional coordinates of all 4 atoms:
La (0.000, 0.000, 0.000)
Y (0.500, 0.500, 0.500)
Ir (0.750, 0.750, 0.750)
Ni (0.250, 0.250, 0.250)


A relaxed structure of Pm2Ge3Pd2, computed with GGA-PBE.

* total DFT energy (no corrections): -38.83 eV for the cell shown
* ΔE_f: -491 kJ/mol of formula units
* spin magnetization: 0.0 μB per formula unit
* energy above the most stable polymorph in this dataset: 140 meV per atom

Unit cell a=4.369 b=5.612 c=6.711 alpha=107.89 beta=90.00 gamma=112.91
Fractional coordinates of all 7 atoms:
Ge (0.607, 0.214, 0.443)
Ge (0.393, 0.786, 0.557)
Ge (0.500, 0.000, 0.000)
Pm (0.153, 0.305, 0.782)
Pm (0.847, 0.695, 0.218)
Pd (0.145, 0.290, 0.263)
Pd (0.855, 0.710, 0.737)


A relaxed structure of ZrBTeI2, computed with GGA-PBE.

* total DFT energy (no corrections): -17.86 eV for the cell shown
* E_form (uncorrected): 0.7209 eV per atom
* spin magnetization: 1.6 μB per formula unit
* energy above the most stable polymorph in this dataset: 44 meV per atom

Unit cell a=4.997 b=4.997 c=4.997 alpha=90.00 beta=90.00 gamma=90.00
Fractional coordinates of all 5 atoms:
Zr (0.500, 0.500, 0.500)
I (0.500, 0.000, 0.000)
I (0.000, 0.500, 0.000)
B (0.000, 0.000, 0.000)
Te (0.000, 0.000, 0.500)


A relaxed structure of BeCo3Ni, computed with GGA-PBE.

* total DFT energy (no corrections): -28.01 eV for the cell shown
* ΔE_f: 272 kJ/mol of formula units
* spin magnetization: 4.7 μB per formula unit
* energy above the most stable polymorph in this dataset: 0 meV per atom

Unit cell a=3.818 b=3.818 c=3.818 alpha=90.00 beta=90.00 gamma=90.00
Fractional coordinates of all 5 atoms:
Ni (0.500, 0.500, 0.500)
Co (0.500, 0.000, 0.000)
Co (0.000, 0.000, 0.500)
Co (0.000, 0.500, 0.000)
Be (0.000, 0.000, 0.000)